1.
Entry from Alexandria: a relaxed structure of LiHg2C2O6 (PBE).

a b c (Å): 9.374 5.086 7.236
angles (deg): 90.00 127.18 90.00
Space group C2/m (No. 12)
Symmetry-distinct sites (fractional):
1 Li 0.000 0.000 0.000 x2
2 Hg 0.182 0.000 0.633 x4
3 C 0.037 0.500 0.768 x4
4 O 0.042 0.281 0.242 x8
5 O 0.179 0.500 0.779 x4

Computed properties:
* volume: 12.5 Å³/atom
* formation energy (no corrections): -1069 meV/atom

2.
Entry from Alexandria: a relaxed structure of AcSiO3 (PBE).

a b c (Å): 3.964 3.964 3.964
angles (deg): 90.00 90.00 90.00
Space group Pm-3m (No. 221)
Symmetry-distinct sites (fractional):
1 Ac 0.000 0.000 0.000 x1
2 Si 0.500 0.500 0.500 x1
3 O 0.000 0.500 0.500 x3

Computed properties:
* volume: 12.5 Å³/atom
* formation energy (no corrections): -2450 meV/atom

3.
Entry from Alexandria: a relaxed structure of Th2ZnCrN5 (PBE).

a b c (Å): 3.377 13.698 9.864
angles (deg): 90.00 90.00 90.00
Space group Cmc2_1 (No. 36)
Symmetry-distinct sites (fractional):
1 Th 0.000 0.116 0.000 x4
2 Th 0.000 0.133 0.602 x4
3 Zn 0.000 0.454 0.774 x4
4 Cr 0.000 0.212 0.314 x4
5 N 0.000 0.068 0.367 x4
6 N 0.000 0.284 0.954 x4
7 N 0.000 0.303 0.680 x4
8 N 0.000 0.345 0.312 x4
9 N 0.000 0.499 0.085 x4

Computed properties:
* volume: 12.7 Å³/atom
* formation energy (no corrections): -780 meV/atom

4.
Entry from Alexandria: a relaxed structure of NdTc2Ge2 (PBE).

a b c (Å): 4.208 4.208 10.701
angles (deg): 90.00 90.00 90.00
Space group I4/mmm (No. 139)
Symmetry-distinct sites (fractional):
1 Nd 0.000 0.000 0.000 x2
2 Tc 0.000 0.500 0.250 x4
3 Ge 0.000 0.000 0.377 x4

Computed properties:
* volume: 19.0 Å³/atom
* energy above the most stable polymorph in this dataset: 79 meV per atom
* calculated formation energy: -2.0 eV per formula unit

5.
Entry from Alexandria: a relaxed structure of Pm2MnGe4Ir3 (PBE).

a b c (Å): 4.225 4.225 10.389
angles (deg): 90.00 90.00 90.00
Space group P-4m2 (No. 115)
Symmetry-distinct sites (fractional):
1 Pm 0.000 0.500 0.246 x2
2 Mn 0.000 0.000 0.500 x1
3 Ge 0.000 0.000 0.000 x1
4 Ge 0.000 0.500 0.635 x2
5 Ge 0.500 0.500 0.000 x1
6 Ir 0.000 0.500 0.873 x2
7 Ir 0.500 0.500 0.500 x1

Computed properties:
* volume: 18.5 Å³/atom
* calculated formation energy: -6.8 eV per formula unit

6.
Entry from Alexandria: a relaxed structure of Ac4Pr11Tm9 (PBE).

a b c (Å): 17.134 26.839 3.708
angles (deg): 90.00 90.00 90.00
Space group Cmmm (No. 65)
Symmetry-distinct sites (fractional):
1 Ac 0.173 0.086 0.000 x8
2 Pr 0.000 0.124 0.500 x4
3 Pr 0.000 0.311 0.500 x4
4 Pr 0.000 0.500 0.500 x2
5 Pr 0.200 0.500 0.500 x4
6 Pr 0.217 0.313 0.500 x8
7 Tm 0.000 0.000 0.000 x2
8 Tm 0.104 0.405 0.000 x8
9 Tm 0.106 0.219 0.000 x8

Computed properties:
* volume: 35.5 Å³/atom
* calculated formation energy: 1.7 eV per formula unit

Computed values of theoretical density (unit: g cm⁻³) for the preceding records, in sequence: 6.38; 8.08; 9.48; 8.51; 10.86; 7.75.